Material: Tm4MgRu
Method: DFT, PBE-GGA
State: relaxed Values from VASP.

Structure (Quantum ESPRESSO input):
```
&SYSTEM
  ibrav = 0, nat = 12, ntyp = 3
/
ATOMIC_SPECIES
Tm 168.93 Tm.upf
Mg 24.30 Mg.upf
Ru 101.07 Ru.upf
CELL_PARAMETERS angstrom
5.896 0.000 0.618
0.000 6.921 0.000
0.705 0.000 8.391
ATOMIC_POSITIONS crystal
Tm 0.934 0.620 0.216
Tm 0.566 0.120 0.784
Tm 0.408 0.362 0.370
Tm 0.092 0.862 0.630
Tm 0.066 0.380 0.784
Tm 0.434 0.880 0.216
Tm 0.592 0.638 0.630
Tm 0.908 0.138 0.370
Mg 0.000 0.000 0.000
Mg 0.500 0.500 0.000
Ru 0.500 0.000 0.500
Ru 0.000 0.500 0.500
```

Formation enthalpy at 0 K, meV/atom: -61
Total moment, μB per formula unit: 0.00
Fermi-level density of states, states/eV per cell: 9.4
Offset from the most stable computed form, meV/atom: 207